# TiCdTe2I GGA-PBE relaxed
data_TiCdTe2I
_chemical_formula_sum 'Ti1 Cd1 Te2 I1'
_cell_length_a 5.557
_cell_length_b 5.557
_cell_length_c 5.743
_cell_angle_alpha 90.00
_cell_angle_beta 90.00
_cell_angle_gamma 90.00
_space_group_name_H-M_alt 'P 4/m m m'
_space_group_IT_number 123
_space_group_name_Hall '-P 4 2'
loop_
_atom_site_label
_atom_site_type_symbol
_atom_site_fract_x
_atom_site_fract_y
_atom_site_fract_z
_atom_site_occupancy
Ti1 Ti 0.000 0.000 0.000 1
Cd1 Cd 0.500 0.500 0.500 1
Te1 Te 0.000 0.500 0.500 1
I1 I 0.500 0.500 0.000 1
# Energy   -13.084 eV per cell